{
  "formula": "La4Ho4Er3",
  "functional": "PBE-GGA",
  "state": "relaxed",
  "lattice_angstrom": [[-2.709, 2.078, 1.184], [-3.810, -0.016, -8.686], [-2.495, -9.984, 6.292]],
  "species": ["Ho", "Ho", "La", "La", "Er", "Ho", "Er", "La", "La", "Er", "Ho"],
  "fractional_positions": [[0.734, 0.234, 0.468], [0.500, 0.815, 0.000], [0.355, 0.525, 0.710], [0.645, 0.475, 0.290], [0.000, 0.500, 0.000], [0.500, 0.185, 0.000], [0.104, 0.104, 0.208], [0.645, 0.815, 0.290], [0.355, 0.185, 0.710], [0.896, 0.896, 0.792], [0.266, 0.766, 0.532]],
  "mass_density_g_cm3": 7.60,
  "dft_energy_ev_per_cell": -50.37,
  "magnetic_moment_mub_per_fu": 0.0,
  "delta_e_f_ev_per_atom": 0.121
}